w:
SnBTeI2: optimized geometry, GGA-PBE.

Lattice parameters (Å, degrees): 5.0830 5.0830 5.2734 90.00 90.00 90.00
Atoms (fractional coordinates):
I 0.0000 0.5000 0.0000
I 0.5000 0.0000 0.0000
B 0.0000 0.0000 0.0000
Te 0.0000 0.0000 0.5000
Sn 0.5000 0.5000 0.5000

x:
SnBTeI2: optimized geometry, GGA-PBE.

Lattice parameters (Å, degrees): 5.9856 5.9856 5.8611 90.00 90.00 90.00
Atoms (fractional coordinates):
I 0.0000 0.5000 0.0000
I 0.5000 0.0000 0.0000
B 0.5000 0.5000 0.5000
Te 0.0000 0.0000 0.5000
Sn 0.0000 0.0000 0.0000

It is x that is the least stable of them.

w:
SnBTe2I: optimized geometry, GGA-PBE.

Lattice parameters (Å, degrees): 5.7400 5.7400 6.0183 90.00 90.00 90.00
Atoms (fractional coordinates):
I 0.0000 0.0000 0.5000
B 0.5000 0.5000 0.5000
Te 0.0000 0.5000 0.0000
Te 0.5000 0.0000 0.0000
Sn 0.0000 0.0000 0.0000

x:
SnBTe2I: optimized geometry, GGA-PBE.

Lattice parameters (Å, degrees): 4.9957 4.9957 5.1830 90.00 90.00 90.00
Atoms (fractional coordinates):
I 0.0000 0.0000 0.5000
B 0.0000 0.0000 0.0000
Te 0.0000 0.5000 0.0000
Te 0.5000 0.0000 0.0000
Sn 0.5000 0.5000 0.5000

It is w that is the least stable of them.

w:
SrBI2: optimized geometry, GGA-PBE.

Lattice parameters (Å, degrees): 5.6496 5.6496 5.6496 60.00 60.00 60.00
Atoms (fractional coordinates):
I 0.2500 0.2500 0.2500
I 0.7500 0.7500 0.7500
Sr 0.5000 0.5000 0.5000
B 0.0000 0.0000 0.0000

x:
SrBI2: optimized geometry, GGA-PBE.

Lattice parameters (Å, degrees): 5.8508 5.8508 10.2428 73.41 73.41 90.00
Atoms (fractional coordinates):
I 0.5911 0.1250 0.2500
I 0.1589 0.6250 0.2500
I 0.3750 0.4089 0.7500
I 0.8750 0.8411 0.7500
Sr 0.0000 0.0000 0.0000
Sr 0.7500 0.2500 0.5000
B 0.5000 0.5000 0.0000
B 0.2500 0.7500 0.5000

It is x that is the least stable of them.

w:
SrB3I: optimized geometry, GGA-PBE.

Lattice parameters (Å, degrees): 4.6131 4.6131 4.6131 90.00 90.00 90.00
Atoms (fractional coordinates):
I 0.0000 0.0000 0.0000
Sr 0.5000 0.5000 0.5000
B 0.0000 0.5000 0.0000
B 0.0000 0.0000 0.5000
B 0.5000 0.0000 0.0000

x:
SrB3I: optimized geometry, GGA-PBE.

Lattice parameters (Å, degrees): 5.3780 5.3780 5.3780 90.00 90.00 90.00
Atoms (fractional coordinates):
I 0.5000 0.5000 0.5000
Sr 0.0000 0.0000 0.0000
B 0.0000 0.5000 0.0000
B 0.0000 0.0000 0.5000
B 0.5000 0.0000 0.0000

It is x that is the least stable of them.

w:
Ta2BI: optimized geometry, GGA-PBE.

Lattice parameters (Å, degrees): 4.5246 4.5246 4.5246 60.00 60.00 60.00
Atoms (fractional coordinates):
I 0.5000 0.5000 0.5000
B 0.0000 0.0000 0.0000
Ta 0.2500 0.2500 0.2500
Ta 0.7500 0.7500 0.7500

x:
Ta2BI: optimized geometry, GGA-PBE.

Lattice parameters (Å, degrees): 5.3680 5.3680 7.1482 67.95 67.95 90.00
Atoms (fractional coordinates):
I 0.0000 0.0000 0.0000
I 0.7500 0.2500 0.5000
B 0.5000 0.5000 0.0000
B 0.2500 0.7500 0.5000
Ta 0.5043 0.1250 0.2500
Ta 0.2457 0.6250 0.2500
Ta 0.3750 0.4957 0.7500
Ta 0.8750 0.7543 0.7500

It is w that is the least stable of them.

w:
TaBI2: optimized geometry, GGA-PBE.

Lattice parameters (Å, degrees): 6.1911 6.1911 7.0242 63.85 63.85 90.00
Atoms (fractional coordinates):
I 0.5968 0.1250 0.2500
I 0.1532 0.6250 0.2500
I 0.3750 0.4032 0.7500
I 0.8750 0.8468 0.7500
B 0.5000 0.5000 0.0000
B 0.2500 0.7500 0.5000
Ta 0.0000 0.0000 0.0000
Ta 0.7500 0.2500 0.5000

x:
TaBI2: optimized geometry, GGA-PBE.

Lattice parameters (Å, degrees): 4.8580 4.8580 4.8580 60.00 60.00 60.00
Atoms (fractional coordinates):
I 0.2500 0.2500 0.2500
I 0.7500 0.7500 0.7500
B 0.0000 0.0000 0.0000
Ta 0.5000 0.5000 0.5000

It is w that is the least stable of them.